Density functional theory data (PBE+U) for AcCoTeO6 after structural relaxation.

```
data_AcCoTeO6
_space_group_name_H-M_alt 'P 3 1 2'
_space_group_IT_number 149
_space_group_name_Hall 'P 3 2'
_cell_length_a 5.1411
_cell_length_b 5.1411
_cell_length_c 5.4452
_cell_angle_alpha 90.00
_cell_angle_beta 90.00
_cell_angle_gamma 120.00
loop_
_atom_site_label
_atom_site_type_symbol
_atom_site_fract_x
_atom_site_fract_y
_atom_site_fract_z
_atom_site_occupancy
Ac1 Ac 0.0000 0.0000 0.0000 1
Co1 Co 0.3333 0.6667 0.5000 1
Te1 Te 0.6667 0.3333 0.5000 1
O1 O 0.0024 0.3788 0.7015 1
```

Properties
uncorrected energy = -6.48 eV per atom
total magnetic moment = 0.00 μB per formula unit